No. 1
# BaGa2Au7

BaGa2Au7 after structural relaxation (PBE-GGA, Alexandria via LeMat-Bulk).

abc: 5.0135 7.6511 7.3337
angles: 121.44 90.00 90.00
Last column: nearest neighbours and their distance in Å.
Fractional coordinates of all 10 atoms:
Au  0.5000  0.6897  0.7575  2 Ga 2.56-2.63, 1 Au 2.82
Au  0.5000  0.3103  0.2425  2 Ga 2.56-2.63, 1 Au 2.82
Au  0.5000  0.9322  0.2425  2 Ga 2.56-2.63, 1 Au 2.82
Au  0.5000  0.0678  0.7575  2 Ga 2.56-2.63, 1 Au 2.82
Au  0.5000  0.5000  0.0000  2 Ga 2.63, 4 Au 2.82
Au  0.0000  0.6248  0.2497  2 Ga 2.72, 2 Au 2.95
Au  0.0000  0.3752  0.7503  2 Ga 2.72, 2 Au 2.95
Ba  0.0000  0.0000  0.0000  8 Au 3.27
Ga  0.5000  0.2899  0.5798  7 Au 2.56-2.72
Ga  0.5000  0.7101  0.4202  7 Au 2.56-2.72

## Properties
The value obtained for the volume is 24.00 A^3/atom. As for the formation enthalpy at 0 K: -0.24 eV per atom. The total energy comes out at -3.33 eV/atom.

***

No. 2
# Ba2Ga2Au

Ba2Ga2Au after structural relaxation (PBE-GGA, Alexandria via LeMat-Bulk).

abc: 7.5286 7.5286 5.1870
angles: 90.00 90.00 90.00
Last column: nearest neighbours and their distance in Å.
Fractional coordinates of all 10 atoms:
Ba  0.6827  0.8173  0.5000  6 Ga 3.32-3.50
Ba  0.3173  0.1827  0.5000  6 Ga 3.32-3.50
Ba  0.8173  0.3173  0.5000  6 Ga 3.32-3.50
Ba  0.1827  0.6827  0.5000  6 Ga 3.32-3.50
Ga  0.1232  0.3768  0.0000  1 Ga 2.62
Ga  0.8768  0.6232  0.0000  1 Ga 2.62
Ga  0.3768  0.8768  0.0000  1 Ga 2.62
Ga  0.6232  0.1232  0.0000  1 Ga 2.62
Au  0.5000  0.5000  0.0000  4 Ga 2.98
Au  0.0000  0.0000  0.0000  4 Ga 2.98

## Properties
The value obtained for the volume is 29.40 A^3/atom. As for the formation enthalpy at 0 K: -0.33 eV per atom. The total energy comes out at -2.97 eV/atom. The calculation puts the polymorph energy (0 for the lowest one) at 163 meV/atom.

***

No. 3
# Ba2Ga3Au9

Ba2Ga3Au9 after structural relaxation (PBE-GGA, Alexandria via LeMat-Bulk).

abc: 8.1567 8.1567 11.6954
angles: 89.52 110.24 121.06
Last column: nearest neighbours and their distance in Å.
Fractional coordinates of all 28 atoms:
Au  0.7977  0.3020  0.9460  3 Ga 2.69-2.81, 1 Au 2.95
Au  0.1062  0.9734  0.9317  3 Ga 2.85-2.92, 5 Au 2.91-3.04
Au  0.6738  0.7164  0.7536  2 Ga 2.92-2.99, 6 Au 2.92-3.09
Au  0.5207  0.3318  0.0629  3 Ga 2.72-2.79, 3 Au 2.94-3.04
Au  0.5418  0.1745  0.5683  3 Ga 2.85-2.92, 5 Au 2.91-3.04
Au  0.2023  0.6980  0.0540  3 Ga 2.69-2.81, 1 Au 2.95
Au  0.7689  0.4577  0.4371  3 Ga 2.72-2.79, 3 Au 2.94-3.04
Au  0.3262  0.2836  0.2464  2 Ga 2.92-2.99, 6 Au 2.92-3.09
Au  0.5372  0.0798  0.2536  2 Ga 2.92-2.99, 6 Au 2.92-3.09
Au  0.1143  0.8643  0.2500  2 Ga 2.77, 4 Au 2.94-3.04
Au  0.8938  0.0266  0.0683  3 Ga 2.85-2.92, 5 Au 2.91-3.04
Au  0.2311  0.5423  0.5629  3 Ga 2.72-2.79, 3 Au 2.94-3.04
Au  0.4793  0.6682  0.9371  3 Ga 2.72-2.79, 3 Au 2.94-3.04
Au  0.8560  0.8517  0.5540  3 Ga 2.69-2.81, 1 Au 2.95
Au  0.1440  0.1483  0.4460  3 Ga 2.69-2.81, 1 Au 2.95
Au  0.8857  0.1357  0.7500  2 Ga 2.77, 4 Au 2.94-3.04
Au  0.4582  0.8255  0.4317  3 Ga 2.85-2.92, 5 Au 2.91-3.04
Au  0.4628  0.9202  0.7464  2 Ga 2.92-2.99, 6 Au 2.92-3.09
Ga  0.8287  0.6512  0.0107  8 Au 2.72-2.99
Ga  0.5000  0.5000  0.5000  8 Au 2.69-2.92
Ga  0.1406  0.8181  0.4893  8 Au 2.72-2.99
Ga  0.8594  0.1819  0.5107  8 Au 2.72-2.99
Ga  0.1713  0.3488  0.9893  8 Au 2.72-2.99
Ga  0.5000  0.0000  0.0000  8 Au 2.69-2.92
Ba  0.6579  0.7459  0.2461  11 Au 3.30-3.50
Ba  0.3421  0.2541  0.7539  11 Au 3.30-3.50
Ba  0.9998  0.4118  0.2539  11 Au 3.30-3.50
Ba  0.0002  0.5882  0.7461  11 Au 3.30-3.50

## Properties
The value obtained for the volume is 21.83 A^3/atom. As for the formation enthalpy at 0 K: -0.39 eV per atom. The total energy comes out at -3.42 eV/atom.

***

Across the entries above, density of states at the Fermi level takes the values 3.5 11.6 9.6 states/eV/cell, respectively.